No. 1
DFT (PBEsol) results for crystalline Ni2IrPbI at its relaxed geometry.

Calculated values
**Calculated volume**: 20.771 Å³/atom
**Raw formation energy**: 524 kJ/mol of formula units
**Calculated total energy**: -4.495 eV/atom

a b c (Å): 4.576 4.576 4.959
angles (deg): 90.00 90.00 90.00
Space group P4/mmm (No. 123)
Inequivalent atoms, fractional coordinates:
Ni: 0.000 0.500 0.000 (multiplicity 2)
Ir: 0.000 0.000 0.500 (multiplicity 1)
Pb: 0.500 0.500 0.500 (multiplicity 1)
I: 0.000 0.000 0.000 (multiplicity 1)


No. 2
DFT (PBEsol) results for crystalline Mg30FeNiO32 at its relaxed geometry.

Calculated values
**Calculated volume**: 9.385 Å³/atom
**Raw formation energy**: -16127 kJ/mol of formula units
**Calculated total energy**: -6.278 eV/atom

a b c (Å): 8.438 8.438 8.436
angles (deg): 90.00 90.00 90.00
Space group P4/mmm (No. 123)
Inequivalent atoms, fractional coordinates:
Mg: 0.000 0.000 0.000 (multiplicity 1)
Mg: 0.000 0.000 0.500 (multiplicity 1)
Mg: 0.000 0.250 0.250 (multiplicity 8)
Mg: 0.000 0.500 0.000 (multiplicity 2)
Mg: 0.000 0.500 0.500 (multiplicity 2)
Mg: 0.250 0.250 0.000 (multiplicity 4)
Mg: 0.250 0.500 0.251 (multiplicity 8)
Mg: 0.251 0.251 0.500 (multiplicity 4)
Fe: 0.500 0.500 0.000 (multiplicity 1)
Ni: 0.500 0.500 0.500 (multiplicity 1)
O: 0.000 0.000 0.250 (multiplicity 2)
O: 0.000 0.250 0.000 (multiplicity 4)
O: 0.000 0.250 0.500 (multiplicity 4)
O: 0.000 0.500 0.251 (multiplicity 4)
O: 0.246 0.500 0.000 (multiplicity 4)
O: 0.249 0.500 0.500 (multiplicity 4)
O: 0.251 0.251 0.250 (multiplicity 8)
O: 0.500 0.500 0.240 (multiplicity 2)


No. 3
DFT (PBEsol) results for crystalline Si2TcNi at its relaxed geometry.

Calculated values
**Calculated volume**: 12.301 Å³/atom
**Raw formation energy**: -123 kJ/mol of formula units
**Calculated total energy**: -7.549 eV/atom

a b c (Å): 7.756 2.805 4.638
angles (deg): 90.00 102.74 90.00
Space group C2/m (No. 12)
Inequivalent atoms, fractional coordinates:
Si: 0.248 0.000 0.244 (multiplicity 4)
Tc: 0.000 0.000 0.500 (multiplicity 2)
Ni: 0.000 0.500 0.000 (multiplicity 2)


No. 4
DFT (PBEsol) results for crystalline Ca2SiGeBi at its relaxed geometry.

Calculated values
**Calculated volume**: 31.605 Å³/atom
**Raw formation energy**: 104 kJ/mol of formula units
**Calculated total energy**: -3.633 eV/atom

a b c (Å): 5.439 5.439 5.342
angles (deg): 90.00 90.00 90.00
Space group P4/mmm (No. 123)
Inequivalent atoms, fractional coordinates:
Ca: 0.000 0.500 0.000 (multiplicity 2)
Si: 0.000 0.000 0.500 (multiplicity 1)
Ge: 0.500 0.500 0.000 (multiplicity 1)
Bi: 0.500 0.500 0.500 (multiplicity 1)


No. 5
DFT (PBEsol) results for crystalline Mn4BeIn at its relaxed geometry.

Calculated values
**ΔE_f**: 8.61 kcal/mol of atoms
**Calculated volume**: 11.981 Å³/atom
**Calculated total energy**: -7.298 eV/atom

a b c (Å): 6.600 6.600 6.600
angles (deg): 90.00 90.00 90.00
Space group F-43m (No. 216)
Inequivalent atoms, fractional coordinates:
Mn: 0.124 0.124 0.124 (multiplicity 16)
Be: 0.250 0.250 0.750 (multiplicity 4)
In: 0.000 0.000 0.500 (multiplicity 4)


No. 6
DFT (PBEsol) results for crystalline HfS2NCl at its relaxed geometry.

Calculated values
**Calculated volume**: 14.764 Å³/atom
**Raw formation energy**: 414 kJ/mol of formula units
**Calculated total energy**: -5.103 eV/atom

a b c (Å): 4.417 4.417 3.784
angles (deg): 90.00 90.00 90.00
Space group P4/mmm (No. 123)
Inequivalent atoms, fractional coordinates:
Hf: 0.000 0.000 0.000 (multiplicity 1)
S: 0.000 0.500 0.500 (multiplicity 2)
N: 0.500 0.500 0.000 (multiplicity 1)
Cl: 0.500 0.500 0.500 (multiplicity 1)


No. 7
DFT (PBEsol) results for crystalline YMoI2O at its relaxed geometry.

Calculated values
**Calculated volume**: 23.475 Å³/atom
**Raw formation energy**: -257 kJ/mol of formula units
**Calculated total energy**: -6.008 eV/atom

a b c (Å): 5.587 5.587 3.760
angles (deg): 90.00 90.00 90.00
Space group P4/mmm (No. 123)
Inequivalent atoms, fractional coordinates:
Y: 0.000 0.000 0.000 (multiplicity 1)
Mo: 0.500 0.500 0.500 (multiplicity 1)
I: 0.000 0.500 0.500 (multiplicity 2)
O: 0.500 0.500 0.000 (multiplicity 1)


No. 8
DFT (PBEsol) results for crystalline ZrTa2Pt at its relaxed geometry.

Calculated values
**ΔE_f**: -5.55 kcal/mol of atoms
**Calculated volume**: 17.527 Å³/atom
**Calculated total energy**: -10.529 eV/atom

a b c (Å): 2.833 4.756 5.285
angles (deg): 90.00 100.06 90.00
Space group P2/m (No. 10)
Inequivalent atoms, fractional coordinates:
Zr: 0.000 0.000 0.000 (multiplicity 1)
Ta: 0.261 0.500 0.752 (multiplicity 2)
Pt: 0.500 0.000 0.500 (multiplicity 1)


No. 9
DFT (PBEsol) results for crystalline MgBe4Os at its relaxed geometry.

Calculated values
**ΔE_f**: -2.32 kcal/mol of atoms
**Calculated volume**: 10.062 Å³/atom
**Calculated total energy**: -5.089 eV/atom

a b c (Å): 6.227 6.227 6.227
angles (deg): 90.00 90.00 90.00
Space group F-43m (No. 216)
Inequivalent atoms, fractional coordinates:
Mg: 0.000 0.000 0.000 (multiplicity 4)
Be: 0.122 0.122 0.622 (multiplicity 16)
Os: 0.250 0.250 0.250 (multiplicity 4)


No. 10
DFT (PBEsol) results for crystalline MgMn2N at its relaxed geometry.

Calculated values
**Calculated volume**: 12.893 Å³/atom
**Raw formation energy**: 459 kJ/mol of formula units
**Calculated total energy**: -6.252 eV/atom

a b c (Å): 5.909 5.909 5.909
angles (deg): 90.00 90.00 90.00
Space group Fm-3m (No. 225)
Inequivalent atoms, fractional coordinates:
Mg: 0.000 0.000 0.000 (multiplicity 4)
Mn: 0.250 0.250 0.250 (multiplicity 8)
N: 0.000 0.000 0.500 (multiplicity 4)


No. 11
DFT (PBEsol) results for crystalline CdAg2Hg at its relaxed geometry.

Calculated values
**ΔE_f**: -0.71 kcal/mol of atoms
**ΔE to the lowest computed polymorph**: 3 meV per atom
**Calculated volume**: 18.293 Å³/atom
**Calculated total energy**: -2.127 eV/atom

a b c (Å): 4.191 4.191 8.331
angles (deg): 90.00 90.00 90.00
Space group I4/mmm (No. 139)
Inequivalent atoms, fractional coordinates:
Cd: 0.000 0.000 0.000 (multiplicity 2)
Ag: 0.000 0.500 0.250 (multiplicity 4)
Hg: 0.000 0.000 0.500 (multiplicity 2)


No. 12
DFT (PBEsol) results for crystalline Ho2S3O12 at its relaxed geometry.

Calculated values
**Calculated volume**: 16.038 Å³/atom
**Raw formation energy**: -3629 kJ/mol of formula units
**Calculated total energy**: -7.274 eV/atom

a b c (Å): 12.810 9.184 9.269
angles (deg): 90.00 90.00 90.00
Space group Pbcn (No. 60)
Inequivalent atoms, fractional coordinates:
Ho: 0.117 0.250 0.036 (multiplicity 8)
S: 0.000 0.033 0.750 (multiplicity 4)
S: 0.145 0.392 0.389 (multiplicity 8)
O: 0.042 0.334 0.427 (multiplicity 8)
O: 0.060 0.126 0.850 (multiplicity 8)
O: 0.074 0.059 0.169 (multiplicity 8)
O: 0.146 0.449 0.908 (multiplicity 8)
O: 0.169 0.358 0.237 (multiplicity 8)
O: 0.224 0.326 0.484 (multiplicity 8)


In states/eV per cell, the D(E_F) values for the records above are, in order, 1.704, 5.584, 4.859, 4.079, 22.419, 1.551, 5.698, 3.463, 15.481, 16.116, 2.148, 0.000.